! Tb2HoEr7 PBE optimized geometry; values from VASP
! Space group: P-1 (2)
! Energy above the lowest structure with this stoichiometry in eV per atom: 0.000
! Uncorrected energy in eV per cell: -45.58
! Formation energy from the elements in meV/atom: 20
! N(E_F) in states/eV/cell: 12.7
! Magnetization in μB/f.u.: 0.0
! Volume in Å³ per atom: 30.55
&SYSTEM
  ibrav = 0, nat = 10, ntyp = 3
/
ATOMIC_SPECIES
Er 167.26 Er.upf
Tb 158.93 Tb.upf
Ho 164.93 Ho.upf
CELL_PARAMETERS angstrom
5.781 1.783 0.593
2.157 7.366 -1.617
0.914 1.415 7.670
ATOMIC_POSITIONS crystal
Er 0.000 0.400 0.200
Er 0.000 0.600 0.800
Er 0.000 0.200 0.600
Er 0.500 0.500 0.000
Er 0.500 0.100 0.801
Er 0.000 0.800 0.400
Er 0.500 0.900 0.199
Tb 0.500 0.700 0.600
Tb 0.500 0.300 0.400
Ho 0.000 0.000 0.000


! Tb3Ho2Er6 PBE optimized geometry; values from VASP
! Space group: I4/mmm (139)
! Uncorrected energy in eV per cell: -47.27
! Formation energy from the elements in meV/atom: 286
! N(E_F) in states/eV/cell: 17.5
! Magnetization in μB/f.u.: 0.0
! Volume in Å³ per atom: 32.69
&SYSTEM
  ibrav = 0, nat = 11, ntyp = 3
/
ATOMIC_SPECIES
Ho 164.93 Ho.upf
Er 167.26 Er.upf
Tb 158.93 Tb.upf
CELL_PARAMETERS angstrom
-2.713 2.897 -2.474
-3.725 -1.382 2.466
6.018 11.200 10.935
ATOMIC_POSITIONS crystal
Ho 0.454 0.454 0.908
Ho 0.546 0.546 0.092
Er 0.695 0.695 0.391
Er 0.305 0.305 0.609
Er 0.379 0.879 0.758
Er 0.879 0.379 0.758
Er 0.621 0.121 0.242
Er 0.121 0.621 0.242
Tb 0.000 0.000 0.000
Tb 0.799 0.799 0.598
Tb 0.201 0.201 0.402


! TbHoEr6 PBE optimized geometry; values from VASP
! Space group: C2/m (12)
! Energy above the lowest structure with this stoichiometry in eV per atom: 0.009
! Uncorrected energy in eV per cell: -34.81
! Formation energy from the elements in meV/atom: 222
! N(E_F) in states/eV/cell: 13.1
! Magnetization in μB/f.u.: 0.0
! Volume in Å³ per atom: 31.09
&SYSTEM
  ibrav = 0, nat = 8, ntyp = 3
/
ATOMIC_SPECIES
Er 167.26 Er.upf
Tb 158.93 Tb.upf
Ho 164.93 Ho.upf
CELL_PARAMETERS angstrom
6.469 -0.838 -1.357
-3.185 5.693 -1.357
-1.724 -2.548 8.705
ATOMIC_POSITIONS crystal
Er 0.329 0.802 0.750
Er 0.755 0.755 0.250
Er 0.802 0.329 0.750
Er 0.245 0.245 0.750
Er 0.198 0.671 0.250
Er 0.671 0.198 0.250
Tb 0.500 0.500 0.500
Ho 0.000 0.000 0.000


! Tb3Ho2Er5 PBE optimized geometry; values from VASP
! Space group: Ibam (72)
! Energy above the lowest structure with this stoichiometry in eV per atom: 0.153
! Uncorrected energy in eV per cell: -84.61
! Formation energy from the elements in meV/atom: 355
! N(E_F) in states/eV/cell: 32.2
! Magnetization in μB/f.u.: 0.0
! Volume in Å³ per atom: 33.06
&SYSTEM
  ibrav = 0, nat = 20, ntyp = 3
/
ATOMIC_SPECIES
Tb 158.93 Tb.upf
Er 167.26 Er.upf
Ho 164.93 Ho.upf
CELL_PARAMETERS angstrom
-6.024 0.652 -1.348
-4.891 -9.332 3.051
-4.144 6.821 7.524
ATOMIC_POSITIONS crystal
Tb 0.750 0.000 0.000
Tb 0.250 0.000 0.000
Tb 0.341 0.408 0.910
Tb 0.659 0.592 0.090
Tb 0.159 0.090 0.592
Tb 0.841 0.910 0.408
Er 0.999 0.251 0.251
Er 0.402 0.755 0.442
Er 0.499 0.251 0.251
Er 0.098 0.558 0.245
Er 0.250 0.500 0.500
Er 0.001 0.749 0.749
Er 0.902 0.442 0.755
Er 0.750 0.500 0.500
Er 0.598 0.245 0.558
Er 0.501 0.749 0.749
Ho 0.100 0.743 0.056
Ho 0.400 0.944 0.257
Ho 0.900 0.257 0.944
Ho 0.600 0.056 0.743